a.
VASP calculation (PBE-GGA) on crystalline P3SeN at its relaxed geometry.

abc: 4.680 4.961 6.047
angles: 109.65 105.85 92.56
Fractional coordinates of all 5 atoms:
P (0.973, 0.045, 0.713)
P (0.434, 0.458, 0.671)
P (0.759, 0.339, 0.985)
Se (0.440, 0.007, 0.016)
N (0.121, 0.286, 0.634)

Output
SG: No. 1
V: 25.15 A^3/atom

b.
VASP calculation (PBE-GGA) on crystalline P3SeN at its relaxed geometry.

abc: 4.269 4.972 5.891
angles: 91.50 96.81 101.70
Fractional coordinates of all 5 atoms:
P (0.967, 0.540, 0.334)
P (0.856, 0.437, 0.685)
P (0.392, 0.115, 0.524)
Se (0.538, 0.168, 0.169)
N (0.155, 0.363, 0.535)

Output
SG: No. 1
V: 24.29 A^3/atom

c.
VASP calculation (PBE-GGA) on crystalline P3SeN at its relaxed geometry.

abc: 4.395 5.128 5.556
angles: 87.69 70.49 72.32
Fractional coordinates of all 5 atoms:
P (0.119, 0.159, 0.032)
P (0.270, 0.557, 0.383)
P (0.738, 0.218, 0.418)
Se (0.504, 0.717, 0.997)
N (0.095, 0.329, 0.304)

Output
SG: No. 1
V: 22.44 A^3/atom

d.
VASP calculation (PBE-GGA) on crystalline P3SeN at its relaxed geometry.

abc: 5.645 3.425 11.933
angles: 90.00 90.89 90.00
Fractional coordinates of all 10 atoms:
P (0.385, 0.000, 0.005)
P (0.385, 0.500, 0.505)
P (0.083, 0.000, 0.227)
P (0.083, 0.500, 0.727)
P (0.654, 0.000, 0.514)
P (0.654, 0.500, 0.014)
Se (0.752, 0.000, 0.702)
Se (0.752, 0.500, 0.202)
N (0.260, 0.000, 0.129)
N (0.260, 0.500, 0.629)

Output
SG: No. 8
V: 23.07 A^3/atom

Quick ranking, most stable first: a, d, c, b.

a.
VASP calculation (PBE-GGA) on crystalline TePSe2N at its relaxed geometry.

abc: 5.370 5.370 3.902
angles: 90.00 90.00 90.00
Fractional coordinates of all 5 atoms:
P (0.500, 0.500, 0.500)
Te (0.000, 0.000, 0.000)
Se (0.000, 0.500, 0.000)
Se (0.500, 0.000, 0.000)
N (0.000, 0.000, 0.500)

Output
SG: No. 123
V: 22.50 A^3/atom
density of states at the Fermi level: 3.893 states/eV/f.u.

b.
VASP calculation (PBE-GGA) on crystalline TePSe2N at its relaxed geometry.

abc: 5.226 5.226 3.346
angles: 90.00 90.00 90.00
Fractional coordinates of all 5 atoms:
P (0.000, 0.000, 0.000)
Te (0.500, 0.500, 0.500)
Se (0.000, 0.500, 0.000)
Se (0.500, 0.000, 0.000)
N (0.000, 0.000, 0.500)

Output
SG: No. 123
V: 18.28 A^3/atom
density of states at the Fermi level: 3.185 states/eV/f.u.

Quick ranking, most stable first: b, a.

a.
VASP calculation (PBE-GGA) on crystalline VPSeN2 at its relaxed geometry.

abc: 3.729 3.729 5.385
angles: 90.00 90.00 90.00
Each line ends with the local moment (μB).
Fractional coordinates of all 5 atoms:
P (0.500, 0.500, 0.500)  0.32
N (0.000, 0.500, 0.000)  -0.21
N (0.500, 0.000, 0.000)  -0.21
Se (0.000, 0.000, 0.500)  -0.03
V (0.000, 0.000, 0.000)  0.29

Output
SG: No. 123
V: 14.98 A^3/atom
density of states at the Fermi level: 2.220 states/eV/f.u.

b.
VASP calculation (PBE-GGA) on crystalline VPSeN2 at its relaxed geometry.

abc: 3.397 3.397 7.317
angles: 90.00 90.00 90.00
Each line ends with the local moment (μB).
Fractional coordinates of all 5 atoms:
P (0.000, 0.000, 0.000)  -0.01
N (0.000, 0.500, 0.000)  0.22
N (0.500, 0.000, 0.000)  0.22
Se (0.000, 0.000, 0.500)  -0.08
V (0.500, 0.500, 0.500)  2.33

Output
SG: No. 123
V: 16.88 A^3/atom
density of states at the Fermi level: 2.776 states/eV/f.u.

Quick ranking, most stable first: a, b.

a.
VASP calculation (PBE-GGA) on crystalline PWSeN2 at its relaxed geometry.

abc: 3.883 3.883 5.413
angles: 90.00 90.00 90.00
Each line ends with the local moment (μB).
Fractional coordinates of all 5 atoms:
P (0.500, 0.500, 0.500)  0.39
Se (0.000, 0.000, 0.500)  -0.01
W (0.000, 0.000, 0.000)  0.08
N (0.000, 0.500, 0.000)  0.02
N (0.500, 0.000, 0.000)  0.02

Output
SG: No. 123
V: 16.32 A^3/atom
density of states at the Fermi level: 3.147 states/eV/f.u.

b.
VASP calculation (PBE-GGA) on crystalline PWSeN2 at its relaxed geometry.

abc: 3.618 3.618 4.780
angles: 90.00 90.00 90.00
Each line ends with the local moment (μB).
Fractional coordinates of all 5 atoms:
P (0.000, 0.000, 0.000)  0.05
Se (0.000, 0.000, 0.500)  -0.02
W (0.500, 0.500, 0.500)  1.32
N (0.000, 0.500, 0.000)  -0.08
N (0.500, 0.000, 0.000)  -0.08

Output
SG: No. 123
V: 12.51 A^3/atom
density of states at the Fermi level: 3.618 states/eV/f.u.

Quick ranking, most stable first: a, b.

a.
VASP calculation (PBE-GGA) on crystalline PWSe2N at its relaxed geometry.

abc: 4.952 4.952 3.235
angles: 90.00 90.00 90.00
Each line ends with the local moment (μB).
Fractional coordinates of all 5 atoms:
P (0.000, 0.000, 0.000)  0.03
Se (0.000, 0.500, 0.000)  -0.07
Se (0.500, 0.000, 0.000)  -0.07
W (0.500, 0.500, 0.500)  1.73
N (0.000, 0.000, 0.500)  0.02

Output
SG: No. 123
V: 15.86 A^3/atom
density of states at the Fermi level: 3.430 states/eV/f.u.

b.
VASP calculation (PBE-GGA) on crystalline PWSe2N at its relaxed geometry.

abc: 5.039 5.039 3.791
angles: 90.00 90.00 90.00
Fractional coordinates of all 5 atoms:
P (0.500, 0.500, 0.500)
Se (0.000, 0.500, 0.000)
Se (0.500, 0.000, 0.000)
W (0.000, 0.000, 0.000)
N (0.000, 0.000, 0.500)

Output
SG: No. 123
V: 19.25 A^3/atom
density of states at the Fermi level: 2.981 states/eV/f.u.

Quick ranking, most stable first: b, a.

a.
VASP calculation (PBE-GGA) on crystalline YPSe2N at its relaxed geometry.

abc: 5.056 5.056 3.523
angles: 90.00 90.00 90.00
Fractional coordinates of all 5 atoms:
Y (0.500, 0.500, 0.500)
P (0.000, 0.000, 0.000)
Se (0.000, 0.500, 0.000)
Se (0.500, 0.000, 0.000)
N (0.000, 0.000, 0.500)

Output
SG: No. 123
V: 18.01 A^3/atom
density of states at the Fermi level: 2.572 states/eV/f.u.

b.
VASP calculation (PBE-GGA) on crystalline YPSe2N at its relaxed geometry.

abc: 5.528 5.528 4.088
angles: 90.00 90.00 90.00
Each line ends with the local moment (μB).
Fractional coordinates of all 5 atoms:
Y (0.000, 0.000, 0.000)  -0.01
P (0.500, 0.500, 0.500)  -0.10
Se (0.000, 0.500, 0.000)  0.03
Se (0.500, 0.000, 0.000)  0.03
N (0.000, 0.000, 0.500)  -0.02

Output
SG: No. 123
V: 24.98 A^3/atom
density of states at the Fermi level: 7.705 states/eV/f.u.

Quick ranking, most stable first: a, b.

a.
VASP calculation (PBE-GGA) on crystalline SiP3N at its relaxed geometry.

abc: 4.497 4.497 4.497
angles: 90.00 90.00 90.00
Each line ends with the local moment (μB).
Fractional coordinates of all 5 atoms:
P (0.000, 0.500, 0.000)  0.01
P (0.000, 0.000, 0.500)  -0.06
P (0.500, 0.000, 0.000)  0.00
Si (0.000, 0.000, 0.000)  -0.01
N (0.500, 0.500, 0.500)  1.50

Output
SG: No. 221
V: 18.19 A^3/atom
density of states at the Fermi level: 1.877 states/eV/f.u.

b.
VASP calculation (PBE-GGA) on crystalline SiP3N at its relaxed geometry.

abc: 4.051 4.051 4.051
angles: 90.00 90.00 90.00
Fractional coordinates of all 5 atoms:
P (0.000, 0.500, 0.000)
P (0.000, 0.000, 0.500)
P (0.500, 0.000, 0.000)
Si (0.500, 0.500, 0.500)
N (0.000, 0.000, 0.000)

Output
SG: No. 221
V: 13.29 A^3/atom
density of states at the Fermi level: 2.462 states/eV/f.u.

Quick ranking, most stable first: b, a.

a.
VASP calculation (PBE-GGA) on crystalline SiPN at its relaxed geometry.

abc: 2.590 2.590 5.022
angles: 90.00 90.00 90.00
Fractional coordinates of all 3 atoms:
Si (0.500, 0.500, 0.500)
P (0.500, 0.500, 0.000)
N (0.000, 0.000, 0.500)

Output
SG: No. 123
V: 11.23 A^3/atom
density of states at the Fermi level: 1.196 states/eV/f.u.

b.
VASP calculation (PBE-GGA) on crystalline SiPN at its relaxed geometry.

abc: 5.101 6.323 5.593
angles: 102.54 90.00 90.00
Fractional coordinates of all 12 atoms:
Si (0.591, 0.124, 0.689)
Si (0.091, 0.876, 0.811)
Si (0.409, 0.876, 0.311)
Si (0.909, 0.124, 0.189)
N (0.311, 0.957, 0.618)
N (0.189, 0.957, 0.118)
N (0.689, 0.043, 0.382)
N (0.811, 0.043, 0.882)
P (0.486, 0.513, 0.204)
P (0.014, 0.513, 0.704)
P (0.514, 0.487, 0.796)
P (0.986, 0.487, 0.296)

Output
SG: No. 14
V: 14.67 A^3/atom
density of states at the Fermi level: 0.006 states/eV/f.u.

c.
VASP calculation (PBE-GGA) on crystalline SiPN at its relaxed geometry.

abc: 2.642 2.722 11.708
angles: 90.00 90.00 90.00
Fractional coordinates of all 6 atoms:
Si (0.000, 0.000, 0.610)
Si (0.000, 0.500, 0.110)
P (0.500, 0.000, 0.858)
P (0.500, 0.500, 0.358)
N (0.000, 0.000, 0.767)
N (0.000, 0.500, 0.267)

Output
SG: No. 38
V: 14.03 A^3/atom
density of states at the Fermi level: 0.258 states/eV/f.u.

d.
VASP calculation (PBE-GGA) on crystalline SiPN at its relaxed geometry.

abc: 4.291 2.787 7.415
angles: 90.00 90.00 90.00
Fractional coordinates of all 6 atoms:
Si (0.000, 0.000, 0.087)
Si (0.500, 0.500, 0.587)
P (0.000, 0.500, 0.460)
P (0.500, 0.000, 0.960)
N (0.000, 0.500, 0.229)
N (0.500, 0.000, 0.729)

Output
SG: No. 44
V: 14.78 A^3/atom
density of states at the Fermi level: 0.422 states/eV/f.u.

Quick ranking, most stable first: b, d, a, c.

a.
VASP calculation (PBE-GGA) on crystalline SiPN at its relaxed geometry.

abc: 2.764 2.659 5.030
angles: 90.00 90.00 90.00
Fractional coordinates of all 3 atoms:
Si (0.000, 0.000, 0.767)
P (0.500, 0.500, 0.258)
N (0.500, 0.000, 0.505)

Output
SG: No. 25
V: 12.32 A^3/atom
density of states at the Fermi level: 0.897 states/eV/f.u.

b.
VASP calculation (PBE-GGA) on crystalline SiPN at its relaxed geometry.

abc: 6.859 2.852 4.926
angles: 90.00 90.60 90.00
Fractional coordinates of all 6 atoms:
Si (0.241, 0.000, 0.522)
Si (0.241, 0.500, 0.022)
P (0.905, 0.000, 0.516)
P (0.905, 0.500, 0.016)
N (0.324, 0.000, 0.857)
N (0.324, 0.500, 0.357)

Output
SG: No. 8
V: 16.06 A^3/atom
density of states at the Fermi level: 0.208 states/eV/f.u.

Quick ranking, most stable first: b, a.

a.
VASP calculation (PBE-GGA) on crystalline Si3PN at its relaxed geometry.

abc: 4.458 4.458 4.458
angles: 90.00 90.00 90.00
Fractional coordinates of all 5 atoms:
P (0.000, 0.000, 0.000)
Si (0.000, 0.500, 0.000)
Si (0.000, 0.000, 0.500)
Si (0.500, 0.000, 0.000)
N (0.500, 0.500, 0.500)

Output
SG: No. 221
V: 17.71 A^3/atom
density of states at the Fermi level: 1.419 states/eV/f.u.

b.
VASP calculation (PBE-GGA) on crystalline Si3PN at its relaxed geometry.

abc: 4.079 4.079 4.079
angles: 90.00 90.00 90.00
Fractional coordinates of all 5 atoms:
P (0.500, 0.500, 0.500)
Si (0.000, 0.500, 0.000)
Si (0.000, 0.000, 0.500)
Si (0.500, 0.000, 0.000)
N (0.000, 0.000, 0.000)

Output
SG: No. 221
V: 13.57 A^3/atom
density of states at the Fermi level: 1.480 states/eV/f.u.

Quick ranking, most stable first: b, a.

a.
VASP calculation (PBE-GGA) on crystalline SiTe2PN at its relaxed geometry.

abc: 5.573 5.573 3.288
angles: 90.00 90.00 90.00
Fractional coordinates of all 5 atoms:
P (0.000, 0.000, 0.000)
Si (0.500, 0.500, 0.500)
Te (0.000, 0.500, 0.000)
Te (0.500, 0.000, 0.000)
N (0.000, 0.000, 0.500)

Output
SG: No. 123
V: 20.43 A^3/atom
density of states at the Fermi level: 4.077 states/eV/f.u.

b.
VASP calculation (PBE-GGA) on crystalline SiTe2PN at its relaxed geometry.

abc: 5.567 5.567 3.274
angles: 90.00 90.00 90.00
Fractional coordinates of all 5 atoms:
P (0.500, 0.500, 0.500)
Si (0.000, 0.000, 0.000)
Te (0.000, 0.500, 0.000)
Te (0.500, 0.000, 0.000)
N (0.000, 0.000, 0.500)

Output
SG: No. 123
V: 20.29 A^3/atom
density of states at the Fermi level: 3.141 states/eV/f.u.

Quick ranking, most stable first: b, a.

a.
VASP calculation (PBE-GGA) on crystalline SmPN2 at its relaxed geometry.

abc: 3.727 5.809 6.240
angles: 90.00 90.22 90.00
Fractional coordinates of all 8 atoms:
Sm (0.111, 0.500, 0.339)
Sm (0.612, 0.000, 0.639)
P (0.112, 0.500, 0.831)
P (0.611, 0.000, 0.147)
N (0.113, 0.730, 0.688)
N (0.113, 0.270, 0.688)
N (0.611, 0.230, 0.290)
N (0.611, 0.770, 0.290)

Output
SG: No. 11
V: 16.89 A^3/atom

b.
VASP calculation (PBE-GGA) on crystalline SmPN2 at its relaxed geometry.

abc: 2.904 2.904 6.995
angles: 78.02 78.02 60.00
Fractional coordinates of all 4 atoms:
P (0.500, 0.500, 0.500)
Sm (0.000, 0.000, 0.000)
N (0.121, 0.121, 0.637)
N (0.879, 0.879, 0.363)

Output
SG: No. 166
V: 12.40 A^3/atom
density of states at the Fermi level: 1.482 states/eV/f.u.

Quick ranking, most stable first: a, b.